Crystalline RbCa2TbBr8 at its relaxed geometry. Source: Alexandria, functional PBE-GGA.

POSCAR file:
```
RbCa2TbBr8
1.0
6.7687 0.0000 0.0000
0.0000 9.1962 0.0000
-0.0791 0.0000 7.0785
Rb Ca Tb Br
1 2 1 8
Cartesian
0.0000 0.0000 0.0000
3.3448 2.2815 3.5392
3.3448 6.9147 3.5392
0.0000 4.5981 0.0000
1.6396 2.6503 1.1776
1.6396 6.5459 1.1776
1.6998 4.5981 4.7644
1.7910 0.0000 4.3861
4.8986 0.0000 2.6924
4.9898 4.5981 2.3140
5.0501 2.6503 5.9009
5.0501 6.5459 5.9009
```

Results
Space-group type: P2/m, No. 10

=====

Crystalline Rb2CaTcBr6 at its relaxed geometry. Source: Alexandria, functional PBE-GGA.

POSCAR file:
```
Rb2CaTcBr6
1.0
0.0000 5.4535 5.4535
5.4535 0.0000 5.4535
5.4535 5.4535 0.0000
Rb Ca Tc Br
2 1 1 6
Cartesian
2.7268 2.7268 2.7268
8.1803 8.1803 8.1803
0.0000 0.0000 0.0000
5.4535 5.4535 5.4535
5.4535 5.4535 2.8602
5.4535 2.8602 5.4535
8.0469 5.4535 5.4535
2.8602 5.4535 5.4535
5.4535 8.0469 5.4535
5.4535 5.4535 8.0469
```

Results
Space-group type: Fm-3m, No. 225

=====

Crystalline RbCaTeBr at its relaxed geometry. Source: Alexandria, functional PBE-GGA.

POSCAR file:
```
RbCaTeBr
1.0
4.6238 0.0000 0.0000
-2.3119 4.0043 0.0000
0.0000 0.0000 24.9029
Rb Ca Te Br
3 3 3 3
Cartesian
0.0000 0.0000 0.0000
0.0000 2.6695 16.6019
2.3119 1.3348 8.3010
0.0000 0.0000 4.3781
0.0000 2.6695 20.9801
2.3119 1.3348 12.6791
0.0000 0.0000 14.2180
0.0000 2.6695 5.9170
2.3119 1.3348 22.5189
0.0000 0.0000 19.1212
0.0000 2.6695 10.8203
2.3119 1.3348 2.5193
```

Results
Space-group type: R3m, No. 160

=====

Crystalline Rb2CaTiBr6 at its relaxed geometry. Source: Alexandria, functional PBE-GGA.

POSCAR file:
```
Rb2CaTiBr6
1.0
0.0000 5.5443 5.5443
5.5443 0.0000 5.5443
5.5443 5.5443 0.0000
Rb Ca Ti Br
2 1 1 6
Cartesian
2.7721 2.7721 2.7721
8.3164 8.3164 8.3164
0.0000 0.0000 0.0000
5.5443 5.5443 5.5443
5.5443 5.5443 2.8637
5.5443 2.8637 5.5443
8.2248 5.5443 5.5443
2.8637 5.5443 5.5443
5.5443 8.2248 5.5443
5.5443 5.5443 8.2248
```

Results
Space-group type: Fm-3m, No. 225

=====

Crystalline RbCa2TiBr8 at its relaxed geometry. Source: Alexandria, functional PBE-GGA.

POSCAR file:
```
RbCa2TiBr8
1.0
6.5962 0.0000 0.0000
0.1270 6.8998 0.0000
0.0085 0.0046 9.0578
Rb Ca Ti Br
1 2 1 8
Cartesian
0.0000 0.0000 0.0000
3.3634 3.4514 2.3019
3.3684 3.4529 6.7559
0.0042 0.0023 4.5289
1.6295 5.8021 6.3184
1.6301 5.8046 2.7377
1.6713 2.1721 4.5303
1.8146 2.6586 0.0019
4.9172 4.2457 9.0559
5.0605 4.7322 4.5275
5.1017 1.0997 6.3201
5.1022 1.1022 2.7394
```

Results
Space-group type: P-1, No. 2

=====

Crystalline Rb2CaTlBr5 at its relaxed geometry. Source: Alexandria, functional PBE-GGA.

POSCAR file:
```
Rb2CaTlBr5
1.0
5.5647 0.0000 0.0000
0.0000 5.5647 0.0000
0.0000 0.0000 12.2040
Rb Ca Tl Br
2 1 1 5
Cartesian
0.0000 0.0000 2.6548
0.0000 0.0000 9.5493
2.7824 2.7824 0.0000
2.7824 2.7824 6.1020
0.0000 0.0000 6.1020
0.0000 2.7824 0.0000
2.7824 0.0000 0.0000
2.7824 2.7824 2.9113
2.7824 2.7824 9.2928
```

Results
Space-group type: P4/mmm, No. 123

=====

| no. | ΔE_f (raw) (eV/f.u.) | energy (eV/atom) | V (A^3/atom) |
| --- | --- | --- | --- |
| 1 | -22.76 | -3.812 | 36.717 |
| 2 | -12.19 | -3.653 | 32.439 |
| 3 | -6.29 | -3.518 | 38.426 |
| 4 | -15.87 | -3.774 | 34.085 |
| 5 | -19.50 | -3.813 | 34.354 |
| 6 | -14.52 | -3.242 | 41.991 |